1.
Li2MnCl5: relaxed, PBE.

SG: Cmcm, No. 63
E_form (uncorrected), eV/f.u.: -10.90
DFT total energy, eV per atom: -4.14
Total moment, μB per formula unit: 4.00

Cell and atoms, written as POSCAR:
```
Li2MnCl5
1.0
2.675 -7.082 0.000
2.675 7.082 0.000
0.000 0.000 11.048
Li Mn Cl
4 2 10
Direct
0.190 0.810 0.563
0.190 0.810 0.937
0.810 0.190 0.063
0.810 0.190 0.437
0.197 0.803 0.250
0.803 0.197 0.750
0.084 0.916 0.107
0.084 0.916 0.393
0.276 0.724 0.750
0.313 0.687 0.098
0.313 0.687 0.402
0.687 0.313 0.598
0.687 0.313 0.902
0.724 0.276 0.250
0.916 0.084 0.607
0.916 0.084 0.893
```


2.
LiMn4Cl: relaxed, PBE.

SG: F-43m, No. 216
E_form (uncorrected), eV/f.u.: 3.97
DFT total energy, eV per atom: -6.08
Total moment, μB per formula unit: 15.94

Cell and atoms, written as POSCAR:
```
LiMn4Cl
1.0
0.000 3.821 3.821
3.821 0.000 3.821
3.821 3.821 0.000
Li Mn Cl
1 4 1
Direct
0.000 0.000 0.000
0.373 0.373 0.373
0.373 0.373 0.881
0.373 0.881 0.373
0.881 0.373 0.373
0.750 0.750 0.750
```


3.
Li2MnMoCl: relaxed, PBE.

SG: P4/mmm, No. 123
E_form (uncorrected), eV/f.u.: 3.68
DFT total energy, eV per atom: -4.40
Total moment, μB per formula unit: 0.00

Cell and atoms, written as POSCAR:
```
Li2MnMoCl
1.0
3.962 0.000 0.000
0.000 3.962 0.000
0.000 0.000 4.749
Li Mn Mo Cl
2 1 1 1
Direct
0.000 0.500 0.000
0.500 0.000 0.000
0.000 0.000 0.500
0.500 0.500 0.500
0.000 0.000 0.000
```


4.
NaLiMn2Cl6: relaxed, PBE.

SG: R3, No. 146
E_form (uncorrected), eV/f.u.: -13.42
DFT total energy, eV per atom: -4.61
Total moment, μB per formula unit: 10.00

Cell and atoms, written as POSCAR:
```
NaLiMn2Cl6
1.0
3.291 1.900 5.896
-3.291 1.900 5.896
0.000 -3.800 5.896
Na Li Mn Cl
1 1 2 6
Direct
0.000 0.000 0.000
0.489 0.489 0.489
0.294 0.294 0.294
0.799 0.799 0.799
0.075 0.670 0.432
0.196 0.563 0.907
0.432 0.075 0.670
0.563 0.907 0.196
0.670 0.432 0.075
0.907 0.196 0.563
```


5.
Na2LiMnCl6: relaxed, PBE.

SG: P1, No. 1
E_form (uncorrected), eV/f.u.: -14.45
DFT total energy, eV per atom: -3.92
Total moment, μB per formula unit: 4.00

Cell and atoms, written as POSCAR:
```
Na2LiMnCl6
1.0
6.590 0.000 0.000
3.247 6.037 0.000
2.888 1.916 5.952
Na Li Mn Cl
2 1 1 6
Direct
0.000 0.000 0.000
0.475 0.451 0.541
0.261 0.189 0.335
0.686 0.667 0.929
0.011 0.772 0.719
0.345 0.567 0.151
0.410 0.042 0.663
0.586 0.882 0.161
0.786 0.446 0.714
0.921 0.297 0.216
```


6.
NaLiMnCl4: relaxed, PBE.

SG: Imma, No. 74
E_form (uncorrected), eV/f.u.: -10.42
DFT total energy, eV per atom: -4.32
Total moment, μB per formula unit: 5.00

Cell and atoms, written as POSCAR:
```
NaLiMnCl4
1.0
-3.834 3.844 5.466
3.834 -3.844 5.466
3.834 3.844 -5.466
Na Li Mn Cl
2 2 2 8
Direct
0.500 0.000 0.000
0.500 0.500 0.500
0.109 0.359 0.750
0.891 0.641 0.250
0.000 0.000 0.000
0.500 0.000 0.500
0.226 0.228 0.998
0.245 0.228 0.482
0.245 0.763 0.018
0.271 0.772 0.498
0.729 0.228 0.502
0.755 0.237 0.982
0.755 0.772 0.518
0.774 0.772 0.002
```


7.
NaLiMn2Cl8: relaxed, PBE.

SG: P-3, No. 147
E_form (uncorrected), eV/f.u.: -13.48
DFT total energy, eV per atom: -4.15
Total moment, μB per formula unit: 8.00

Cell and atoms, written as POSCAR:
```
NaLiMn2Cl8
1.0
7.262 0.000 0.000
-3.631 6.289 0.000
0.000 0.000 7.569
Na Li Mn Cl
1 1 2 8
Direct
0.000 0.000 0.000
0.000 0.000 0.500
0.333 0.667 0.796
0.667 0.333 0.204
0.155 0.322 0.716
0.166 0.845 0.716
0.322 0.166 0.284
0.333 0.667 0.081
0.667 0.333 0.919
0.678 0.834 0.716
0.834 0.155 0.284
0.845 0.678 0.284
```


8.
NaLi2MnCl6: relaxed, PBE.

SG: P1, No. 1
E_form (uncorrected), eV/f.u.: -14.43
DFT total energy, eV per atom: -3.98
Total moment, μB per formula unit: 4.00

Cell and atoms, written as POSCAR:
```
NaLi2MnCl6
1.0
6.387 0.000 0.000
2.885 5.751 0.000
3.183 1.488 5.971
Na Li Mn Cl
1 2 1 6
Direct
0.000 0.000 0.000
0.300 0.260 0.124
0.826 0.812 0.594
0.486 0.493 0.538
0.104 0.437 0.777
0.211 0.888 0.317
0.437 0.696 0.774
0.553 0.262 0.320
0.673 0.101 0.809
0.857 0.569 0.317
```


9.
Li2NpMnCl8: relaxed, PBE.

SG: P-1, No. 2
E_form (uncorrected), eV/f.u.: -18.27
DFT total energy, eV per atom: -4.92
Total moment, μB per formula unit: 8.00

Cell and atoms, written as POSCAR:
```
Li2NpMnCl8
1.0
6.305 0.000 0.000
0.949 6.380 0.000
0.060 0.043 7.673
Li Np Mn Cl
2 1 1 8
Direct
0.038 0.040 0.276
0.962 0.960 0.724
0.500 0.500 0.000
0.500 0.500 0.500
0.206 0.828 0.999
0.218 0.805 0.500
0.293 0.328 0.253
0.305 0.336 0.746
0.695 0.664 0.254
0.707 0.672 0.747
0.782 0.195 0.500
0.794 0.172 0.001
```